Entry 1:
The following is a PBE calculation of an optimized crystal structure of Ti2ZnBi, from Alexandria.

Computed properties:
Energy relative to the lowest polymorph listed for this composition: 0.216 eV/atom
Total magnetic moment: 0.00 μB/cell
Total DFT energy (no corrections): -5.0666 eV per atom
ΔH_f (0 K): 170 meV per atom

Geometry as CIF:
```
data_Ti2ZnBi
_symmetry_space_group_name_H-M 'I -4 2 d'
_symmetry_Int_Tables_number 122
_symmetry_space_group_name_Hall 'I -4 2bw'
_cell_length_a 7.4251
_cell_length_b 7.4251
_cell_length_c 5.7914
_cell_angle_alpha 90.00
_cell_angle_beta 90.00
_cell_angle_gamma 90.00
loop_
_atom_site_label
_atom_site_type_symbol
_atom_site_fract_x
_atom_site_fract_y
_atom_site_fract_z
Ti1 Ti 0.2340 0.2500 0.1250
Zn1 Zn 0.0000 0.0000 0.0000
Bi1 Bi 0.0000 0.0000 0.5000
```

=====

Entry 2:
The following is a PBE calculation of an optimized crystal structure of LiV2Re, from Alexandria.

Computed properties:
Total magnetic moment: 0.02 μB/cell
Total DFT energy (no corrections): -7.5022 eV per atom
ΔH_f (0 K): 648 meV per atom

Geometry as CIF:
```
data_LiV2Re
_symmetry_space_group_name_H-M 'I -4 2 d'
_symmetry_Int_Tables_number 122
_symmetry_space_group_name_Hall 'I -4 2bw'
_cell_length_a 6.6714
_cell_length_b 6.6714
_cell_length_c 5.1282
_cell_angle_alpha 90.00
_cell_angle_beta 90.00
_cell_angle_gamma 90.00
loop_
_atom_site_label
_atom_site_type_symbol
_atom_site_fract_x
_atom_site_fract_y
_atom_site_fract_z
Li1 Li 0.0000 0.0000 0.0000
V1 V 0.2495 0.2500 0.1250
Re1 Re 0.0000 0.0000 0.5000
```

=====

Entry 3:
The following is a PBE calculation of an optimized crystal structure of BeNiCl2, from Alexandria.

Computed properties:
Energy relative to the lowest polymorph listed for this composition: 1.187 eV/atom
Total magnetic moment: 0.88 μB/cell
Total DFT energy (no corrections): -2.5720 eV per atom

Geometry as CIF:
```
data_BeNiCl2
_symmetry_space_group_name_H-M 'F -4 3 m'
_symmetry_Int_Tables_number 216
_symmetry_space_group_name_Hall 'F -4 2 3'
_cell_length_a 6.2646
_cell_length_b 6.2646
_cell_length_c 6.2646
_cell_angle_alpha 90.00
_cell_angle_beta 90.00
_cell_angle_gamma 90.00
loop_
_atom_site_label
_atom_site_type_symbol
_atom_site_fract_x
_atom_site_fract_y
_atom_site_fract_z
Be1 Be 0.0000 0.0000 0.0000
Ni1 Ni 0.2500 0.2500 0.2500
Cl1 Cl 0.0000 0.0000 0.5000
Cl2 Cl 0.2500 0.2500 0.7500
```

=====

Entry 4:
The following is a PBE calculation of an optimized crystal structure of AcZrGe2O8, from Alexandria.

Computed properties:
Total magnetic moment: 0.00 μB/cell
Total DFT energy (no corrections): -7.3970 eV per atom

Geometry as CIF:
```
data_AcZrGe2O8
_symmetry_space_group_name_H-M 'I -4 m 2'
_symmetry_Int_Tables_number 119
_symmetry_space_group_name_Hall 'I -4 -2'
_cell_length_a 7.1468
_cell_length_b 7.1468
_cell_length_c 6.5746
_cell_angle_alpha 90.00
_cell_angle_beta 90.00
_cell_angle_gamma 90.00
loop_
_atom_site_label
_atom_site_type_symbol
_atom_site_fract_x
_atom_site_fract_y
_atom_site_fract_z
Ac1 Ac 0.0000 0.0000 0.0000
Zr1 Zr 0.0000 0.5000 0.2500
Ge1 Ge 0.0000 0.0000 0.5000
Ge2 Ge 0.0000 0.5000 0.7500
O1 O 0.0000 0.1970 0.3308
O2 O 0.0000 0.3322 0.9467
```